Compound: Mg2NiOs
Source: the Alexandria database
Functional: GGA-PBE
Structure: optimized geometry

Summary:
raw total energy = -4.893 eV/atom
energy relative to the elements = 157 meV per atom
theoretical density = 8336 kg/m3

Cell lengths 2.7187, 2.7187, 8.3035 Å; angles 90.00, 90.00, 105.05 degrees
Last column: nearest neighbours and their distance in Å.
Element x y z (fractional)
Mg  0.0000  0.0000  0.2340  2 Ni 2.55, 4 Mg 2.72, 2 Os 2.76
Mg  0.0000  0.0000  0.7660  2 Ni 2.55, 4 Mg 2.72, 2 Os 2.76
Ni  0.5000  0.5000  0.0000  4 Mg 2.55, 4 Ni 2.72
Os  0.5000  0.5000  0.5000  4 Os 2.72, 4 Mg 2.76